Compound: LiSmTl
Source: Alexandria
Functional: PBE
Structure: relaxed

Unit cell a=3.677 b=3.677 c=6.207 alpha=107.23 beta=107.23 gamma=90.00
Fractional positions:
Li: 0.310 0.310 0.620
Tl: 0.926 0.926 0.851
Sm: 0.615 0.615 0.229

excess energy over the best structure of this formula in the dataset = 0.134 eV/atom
energy of formation = -0.148 eV/atom
calculated volume = 25.40 Å³/atom
crystal system = tetragonal